4
Lattice="3.482 0.000 0.000 0.000 3.482 0.000 0.000 0.000 7.422" Properties=species:S:1:pos:R:3 comment="TbZnCd2 | the Alexandria database | PBE | relaxed" magnetic_moment_mub_per_fu=0.18 e_form_mev_per_atom=-139 dos_ef_per_ev_cell=2.09 pbc="T T T"
Tb 1.741 1.741 3.711
Cd 0.000 0.000 1.601
Zn 1.741 1.741 0.000
Cd 0.000 0.000 5.821



5
Lattice="4.479 0.000 0.000 0.000 5.272 0.000 0.000 0.000 4.479" Properties=species:S:1:pos:R:3 comment="YV2RhSe | the Alexandria database | PBE | relaxed" magnetic_moment_mub_per_fu=2.99 dos_ef_per_ev_cell=7.99 e_form_raw_ev_per_atom=0.3780 pbc="T T T"
V 0.000 0.000 2.240
Y 0.000 2.636 0.000
Se 0.000 0.000 0.000
V 2.240 0.000 0.000
Rh 2.240 2.636 2.240



4
Lattice="-1.448 -0.474 4.562 -4.597 0.807 1.161 -2.845 -3.671 1.251" Properties=species:S:1:pos:R:3 comment="YHf2Fe | the Alexandria database | PBE | relaxed" magnetic_moment_mub_per_fu=0.00 e_form_mev_per_atom=385 dos_ef_per_ev_cell=5.07 relative_energy_mev_per_atom=369 pbc="T T T"
Hf -2.222 -0.834 1.743
Fe 0.000 0.000 0.000
Y -4.445 -1.669 3.487
Hf -6.667 -2.503 5.230



16
Lattice="-0.543 3.408 3.131 -5.900 1.242 1.092 -0.335 -5.227 9.099" Properties=species:S:1:pos:R:3 comment="K2BeGaO4 | the Alexandria database | PBE | relaxed" magnetic_moment_mub_per_fu=1.01 dos_ef_per_ev_cell=10.59 e_form_raw_ev_per_atom=-1.6425 pbc="T T T"
O -2.427 -0.929 7.311
O -4.318 0.141 5.818
K -3.503 2.985 4.812
O -4.634 0.830 8.910
Ga -3.525 0.563 7.444
O -5.669 -0.843 11.856
O -1.433 -3.735 9.232
Ga 0.000 0.000 0.000
Be -3.253 -1.141 5.878
O -1.347 1.760 2.838
K -0.313 -2.805 6.467
Be -0.271 1.704 1.565
O -2.178 -1.196 4.606
K -3.547 -1.858 10.076
O -5.107 1.664 2.718
K -0.565 0.987 5.763



4
Lattice="2.429 4.256 7.148 4.154 1.352 7.484 5.407 3.858 5.567" Properties=species:S:1:pos:R:3 comment="TiSbS2 | the Alexandria database | PBE | relaxed" magnetic_moment_mub_per_fu=0.00 dos_ef_per_ev_cell=2.03 e_form_raw_ev_per_atom=-0.9000 pbc="T T T"
S 1.310 1.034 2.207
S 10.680 8.432 17.992
Ti 5.995 4.733 10.099
Sb 0.000 0.000 0.000



4
Lattice="6.226 -0.008 -0.002 1.584 6.021 0.002 -3.342 -3.737 3.691" Properties=species:S:1:pos:R:3 comment="K2CuSb | the Alexandria database | PBE | relaxed" magnetic_moment_mub_per_fu=0.00 e_form_raw_ev_per_atom=-0.2543 pbc="T T T"
K 3.102 -0.594 1.844
K 0.215 0.166 0.000
Sb 3.286 2.530 0.000
Cu 1.770 3.182 1.847



5
Lattice="4.550 0.000 0.000 0.000 4.811 0.000 0.000 0.000 4.550" Properties=species:S:1:pos:R:3 comment="Be2CuTeMo | the Alexandria database | PBE | relaxed" magnetic_moment_mub_per_fu=3.15 dos_ef_per_ev_cell=1.70 e_form_raw_ev_per_atom=1.6785 pbc="T T T"
Cu 0.000 2.406 0.000
Be 0.000 0.000 2.275
Te 0.000 0.000 0.000
Be 2.275 0.000 0.000
Mo 2.275 2.406 2.275



11
Lattice="-0.747 2.724 3.043 -4.860 -4.287 0.240 0.962 -5.701 2.936" Properties=species:S:1:pos:R:3 comment="LiIn2F8 | the Alexandria database | PBE | relaxed" magnetic_moment_mub_per_fu=0.89 e_form_raw_ev_per_atom=-2.2492 relative_energy_mev_per_atom=0 pbc="T T T"
F -3.072 -7.501 2.699
F -0.251 -2.274 4.025
F -2.726 -3.595 4.002
In -3.151 -5.678 3.825
F -4.394 -4.990 2.195
Li 0.000 0.000 0.000
F -1.918 -3.669 2.218
In -1.494 -1.586 2.394
F -3.651 -1.448 2.450
F -0.994 -5.816 3.769
F -1.573 0.237 3.521